(1)
Density functional theory data (PBE) for a geometry-optimized HfMn2Co2 structure.

The space group is P4/mbm (No. 127) and the conventional cell measures 6.965, 6.965 and 2.582 Å, with angles of 90.00, 90.00 and 90.00 degrees. The inequivalent atoms are Hf at (0.000, 0.000, 0.000), Mn at (0.116, 0.384, 0.000) and Co at (0.176, 0.676, 0.500).

As for the formation energy: 83 meV/atom. As for the total moment: 0.00 μB per cell. The mass density comes out at 10771 kg/m³. The energy above the most stable polymorph in this dataset is 111 meV per atom.

(2)
Density functional theory data (PBE) for a geometry-optimized HoTmAlCr structure.

The space group is F-43m (No. 216) and the conventional cell measures 7.142, 7.142 and 7.142 Å, with angles of 90.00, 90.00 and 90.00 degrees. The inequivalent atoms are Ho at (0.000, 0.000, 0.000), Tm at (0.000, 0.000, 0.500), Al at (0.250, 0.250, 0.750) and Cr at (0.250, 0.250, 0.250).

As for the formation energy: -34 meV/atom. As for the total moment: 15.35 μB per cell. The mass density comes out at 7528 kg/m³.

(3)
Density functional theory data (PBE) for a geometry-optimized Na2GaSnF8 structure.

The space group is P2/m (No. 10) and the conventional cell measures 5.084, 6.698 and 5.110 Å, with angles of 90.00, 92.57 and 90.00 degrees. The inequivalent atoms are Na at (0.000, 0.235, 0.000), Ga at (0.500, 0.000, 0.500), Sn at (0.500, 0.500, 0.500), F at (0.204, 0.500, 0.203), F at (0.237, 0.000, 0.236) and F at (0.322, 0.226, 0.676).

For the uncorrected formation energy, the calculation gives -2563 meV per atom. As for the total moment: 0.21 μB per cell. The mass density comes out at 3691 kg/m³.

(4)
Density functional theory data (PBE) for a geometry-optimized Tb2Al3PdPt4 structure.

The space group is P-4m2 (No. 115) and the conventional cell measures 4.046, 4.046 and 11.389 Å, with angles of 90.00, 90.00 and 90.00 degrees. The inequivalent atoms are Tb at (0.000, 0.500, 0.240), Al at (0.000, 0.000, 0.000), Al at (0.000, 0.500, 0.628), Pd at (0.500, 0.500, 0.000), Pt at (0.000, 0.000, 0.500), Pt at (0.000, 0.500, 0.841) and Pt at (0.500, 0.500, 0.500).

As for the formation energy: -1052 meV/atom. As for the total moment: 0.00 μB per cell. The mass density comes out at 11452 kg/m³.